# RbMnF3 (PBE with a Hubbard U, optimized geometry)
data_RbMnF3
_chemical_formula_sum 'Rb4 Mn4 F12'
_symmetry_space_group_name_H-M 'C 1 2/m 1'
_symmetry_Int_Tables_number 12
_cell_length_a 11.245
_cell_length_b 4.281
_cell_length_c 7.577
_cell_angle_alpha 90.00
_cell_angle_beta 101.67
_cell_angle_gamma 90.00
loop_
_symmetry_equiv_pos_as_xyz
'x,y,z'
'-x,-y,-z'
'-x,y,-z'
'x,-y,z'
'x+1/2,y+1/2,z'
'-x+1/2,-y+1/2,-z'
'-x+1/2,y+1/2,-z'
'x+1/2,-y+1/2,z'
loop_
_atom_site_label
_atom_site_type_symbol
_atom_site_fract_x
_atom_site_fract_y
_atom_site_fract_z
Rb1 Rb 0.118 0.000 0.384
Mn1 Mn 0.131 0.500 0.919
F1 F 0.065 0.500 0.164
F2 F 0.144 0.500 0.649
F3 F 0.171 0.000 0.956
# Crystal system ... monoclinic
# Total energy ... -5.509 eV/atom
# Calculated density ... 3.7 g/cm³